GaAgPS2: optimized geometry, PBE-GGA.

Computed properties:
E above lowest polymorph in eV per atom: 0.000
Final energy in eV/atom: -3.25
Formation energy without anion corrections in eV/atom: 0.656

a b c (Å): 4.7679 4.7679 4.6985
angles (deg): 90.00 90.00 90.00
Last column: magnetic moment on the atom in μB.
Positions (direct):
Ga: 0.0000 0.0000 0.0000  0.00
Ag: 0.5000 0.5000 0.5000  0.02
S: 0.5000 0.0000 0.0000  0.05
S: 0.0000 0.5000 0.0000  0.05
P: 0.0000 0.0000 0.5000  0.25